(1)
Density functional theory data (GGA-PBE) for Gd2TmPb after structural relaxation.

Properties
The formation energy comes out at -0.153 eV per atom. For the energy above the most stable polymorph in this dataset, the calculation gives 14.8 kJ per mole of atoms.

a = 7.7770 Å, b = 7.7770 Å, c = 7.7770 Å
α = 90.00°, β = 90.00°, γ = 90.00°
Closest atoms and distances in Å follow each position.
Space group Fm-3m (No. 225)
Unique sites:
Gd (0.2500, 0.2500, 0.2500) x8  4 Pb 3.37, 4 Tm 3.37
Tm (0.0000, 0.0000, 0.0000) x4  8 Gd 3.37
Pb (0.0000, 0.0000, 0.5000) x4  8 Gd 3.37



(2)
Density functional theory data (GGA-PBE) for Cr2RhCl after structural relaxation.

Properties
The formation energy without anion corrections comes out at 0.58 eV/atom. For the energy above the most stable polymorph in this dataset, the calculation gives 46.3 kJ per mole of atoms.

a = 6.4604 Å, b = 6.4604 Å, c = 7.0640 Å
α = 90.00°, β = 90.00°, γ = 90.00°
Closest atoms and distances in Å follow each position.
Space group I-42d (No. 122)
Unique sites:
Cr (0.2495, 0.2500, 0.1250) x8  2 Rh 2.45, 2 Cl 2.45
Rh (0.0000, 0.0000, 0.0000) x4  4 Cr 2.45
Cl (0.0000, 0.0000, 0.5000) x4  4 Cr 2.45